MnCrCo6: relaxed, GGA-PBE.

## Properties
- Calculated volume: 11.4 A^3/atom
- E above lowest polymorph: 133 meV/atom
- Mass density: 8.35 g cm⁻³
- VASP energy: -7.517 eV/atom
- Formation energy from the elements: 15.6 kJ/mol of atoms

```
MnCrCo6
1.0
-3.1879 -0.6183 -3.1796
0.4162 -4.3918 1.1216
-0.6321 5.0808 4.9697
Co Mn Cr
6 1 1
Direct
0.7690 0.1391 0.2772 Co
0.1400 0.7695 0.2768 Co
0.5702 0.5692 0.2100 Co
0.4298 0.4308 0.7900 Co
0.2310 0.8609 0.7228 Co
0.8600 0.2305 0.7232 Co
0.0000 0.0000 0.0000 Mn
0.5000 0.5000 0.5000 Cr
```